# 1
## Ti4Ga2Ni (PBE)

Data for Ti4Ga2Ni after structural relaxation.

Properties
ρ (kg/m³): 4972
Calculated total energy (eV/atom): -6.054
Formation energy (kJ/mol of atoms): 14.25

Lattice parameters (Å, degrees): 4.347 4.347 13.771 90.00 90.00 90.00
Fractional positions:
Ti 0.000 0.000 0.178
Ti 0.000 0.000 0.822
Ti 0.000 0.500 0.000
Ti 0.000 0.500 0.500
Ti 0.500 0.000 0.000
Ti 0.500 0.000 0.500
Ti 0.500 0.500 0.322
Ti 0.500 0.500 0.678
Ga 0.000 0.000 0.369
Ga 0.000 0.000 0.631
Ga 0.500 0.500 0.131
Ga 0.500 0.500 0.869
Ni 0.000 0.000 0.000
Ni 0.500 0.500 0.500

---

# 2
## Rb2TcCl2F4 (PBE)

Data for Rb2TcCl2F4 after structural relaxation.

Properties
ρ (kg/m³): 3408
Calculated total energy (eV/atom): -4.735
Raw formation energy (eV/atom): -2.126

Lattice parameters (Å, degrees): 6.837 6.837 5.286 92.57 92.57 55.21
Fractional positions:
Rb 0.139 0.139 0.166
Rb 0.861 0.861 0.834
Tc 0.500 0.500 0.500
Cl 0.322 0.322 0.674
Cl 0.678 0.678 0.326
F 0.222 0.676 0.267
F 0.324 0.778 0.733
F 0.676 0.222 0.267
F 0.778 0.324 0.733

---

# 3
## Sr2Fe2Ag (PBE)

Data for Sr2Fe2Ag after structural relaxation.

Properties
ρ (kg/m³): 4696
Calculated total energy (eV/atom): -3.964
Formation energy (kJ/mol of atoms): 64.09

Lattice parameters (Å, degrees): 8.902 8.902 3.523 90.00 90.00 90.00
Fractional positions:
Sr 0.195 0.305 0.000
Sr 0.305 0.805 0.000
Sr 0.695 0.195 0.000
Sr 0.805 0.695 0.000
Fe 0.085 0.585 0.500
Fe 0.415 0.085 0.500
Fe 0.585 0.915 0.500
Fe 0.915 0.415 0.500
Ag 0.000 0.000 0.000
Ag 0.500 0.500 0.000

---

# 4
## PuThPa2Sb4 (PBE)

Data for PuThPa2Sb4 after structural relaxation.

Properties
ρ (kg/m³): 9702
Calculated total energy (eV/atom): -7.769
Raw formation energy (eV/atom): -0.615

Lattice parameters (Å, degrees): 7.635 4.416 7.671 90.00 109.42 90.00
Fractional positions:
Pu 0.000 0.000 0.000
Th 0.500 0.500 0.000
Pa 0.000 0.500 0.500
Pa 0.500 0.000 0.500
Sb 0.244 0.000 0.742
Sb 0.249 0.500 0.256
Sb 0.751 0.500 0.744
Sb 0.756 0.000 0.258

---

# 5
## CrCu2Au2 (PBE)

Data for CrCu2Au2 after structural relaxation.

Properties
ρ (kg/m³): 12294
Calculated total energy (eV/atom): -4.371
Formation energy (kJ/mol of atoms): 48.55

Lattice parameters (Å, degrees): 7.490 7.490 2.759 90.00 90.00 90.00
Fractional positions:
Cr 0.000 0.000 0.000
Cr 0.500 0.500 0.000
Cu 0.161 0.339 0.500
Cu 0.339 0.839 0.500
Cu 0.661 0.161 0.500
Cu 0.839 0.661 0.500
Au 0.139 0.639 0.000
Au 0.361 0.139 0.000
Au 0.639 0.861 0.000
Au 0.861 0.361 0.000

---

# 6
## La2Cu3TcGe4 (PBE)

Data for La2Cu3TcGe4 after structural relaxation.

Properties
ρ (kg/m³): 7633
Calculated total energy (eV/atom): -5.572
Formation energy (kJ/mol of atoms): -45.74

Lattice parameters (Å, degrees): 4.242 4.242 10.360 90.00 90.00 90.00
Fractional positions:
La 0.000 0.500 0.245
La 0.500 0.000 0.755
Cu 0.000 0.500 0.872
Cu 0.500 0.000 0.128
Cu 0.500 0.500 0.500
Tc 0.000 0.000 0.500
Ge 0.000 0.000 0.000
Ge 0.000 0.500 0.631
Ge 0.500 0.000 0.369
Ge 0.500 0.500 0.000

---

# 7
## TbTm4Th3 (PBE)

Data for TbTm4Th3 after structural relaxation.

Properties
ρ (kg/m³): 10242
Calculated total energy (eV/atom): -5.570
Formation energy (kJ/mol of atoms): 2.56

Lattice parameters (Å, degrees): 23.151 3.550 6.064 90.00 95.06 90.00
Fractional positions:
Tb 0.000 0.000 0.000
Tb 0.500 0.500 0.000
Tm 0.125 0.500 0.875
Tm 0.250 0.000 0.746
Tm 0.250 0.500 0.254
Tm 0.375 0.000 0.125
Tm 0.625 0.000 0.875
Tm 0.750 0.000 0.254
Tm 0.750 0.500 0.746
Tm 0.875 0.500 0.125
Th 0.000 0.500 0.500
Th 0.125 0.000 0.377
Th 0.375 0.500 0.623
Th 0.500 0.000 0.500
Th 0.625 0.500 0.377
Th 0.875 0.000 0.623